[1]
# GGA-PBE TcHg2Rh, optimized geometry
data_TcHg2Rh
_chemical_formula_sum 'Tc2 Hg4 Rh2'
_cell_length_a 9.3766
_cell_length_b 2.9192
_cell_length_c 5.2130
_cell_angle_alpha 90.00
_cell_angle_beta 100.34
_cell_angle_gamma 90.00
_symmetry_space_group_name_H-M 'C 1 2/m 1'
_symmetry_Int_Tables_number 12
_symmetry_space_group_name_Hall '-C 2y'
loop_
_atom_site_label
_atom_site_fract_x
_atom_site_fract_y
_atom_site_fract_z
Tc1 0.0000 0.0000 0.0000
Hg1 0.2488 0.0000 0.7479
Rh1 0.0000 0.5000 0.5000
# Formation energy from the elements = 504 meV/atom
# Offset from the most stable computed form = 318 meV/atom
# ρ = 14.24 g/cm³



[2]
# GGA-PBE MgTl4Hg, optimized geometry
data_MgTl4Hg
_chemical_formula_sum 'Mg4 Tl16 Hg4'
_cell_length_a 9.1065
_cell_length_b 9.1065
_cell_length_c 9.1065
_cell_angle_alpha 90.00
_cell_angle_beta 90.00
_cell_angle_gamma 90.00
_symmetry_space_group_name_H-M 'F -4 3 m'
_symmetry_Int_Tables_number 216
_symmetry_space_group_name_Hall 'F -4 2 3'
loop_
_atom_site_label
_atom_site_fract_x
_atom_site_fract_y
_atom_site_fract_z
Mg1 0.0000 0.0000 0.0000
Tl1 0.1250 0.1250 0.6250
Hg1 0.2500 0.2500 0.2500
# Formation energy from the elements = 176 meV/atom
# Offset from the most stable computed form = 177 meV/atom
# ρ = 9.17 g/cm³



[3]
# GGA-PBE LaTa3Cr, optimized geometry
data_LaTa3Cr
_chemical_formula_sum 'La1 Ta3 Cr1'
_cell_length_a 4.8516
_cell_length_b 4.8516
_cell_length_c 4.8516
_cell_angle_alpha 90.00
_cell_angle_beta 90.00
_cell_angle_gamma 90.00
_symmetry_space_group_name_H-M 'P m -3 m'
_symmetry_Int_Tables_number 221
_symmetry_space_group_name_Hall '-P 4 2 3'
loop_
_atom_site_label
_atom_site_fract_x
_atom_site_fract_y
_atom_site_fract_z
La1 0.0000 0.0000 0.0000
Ta1 0.0000 0.0000 0.5000
Cr1 0.5000 0.5000 0.5000
# Formation energy from the elements = 2702 meV/atom
# Offset from the most stable computed form = 1976 meV/atom
# ρ = 10.67 g/cm³



[4]
# GGA-PBE WSN3, optimized geometry
data_WSN3
_chemical_formula_sum 'W1 S1 N3'
_cell_length_a 3.9696
_cell_length_b 3.9696
_cell_length_c 3.9696
_cell_angle_alpha 90.00
_cell_angle_beta 90.00
_cell_angle_gamma 90.00
_symmetry_space_group_name_H-M 'P m -3 m'
_symmetry_Int_Tables_number 221
_symmetry_space_group_name_Hall '-P 4 2 3'
loop_
_atom_site_label
_atom_site_fract_x
_atom_site_fract_y
_atom_site_fract_z
W1 0.0000 0.0000 0.0000
S1 0.5000 0.5000 0.5000
N1 0.0000 0.0000 0.5000
# Total energy = -7.1845 eV per atom
# ρ = 6.85 g/cm³



[5]
# GGA-PBE TbTeBr, optimized geometry
data_TbTeBr
_chemical_formula_sum 'Tb4 Te4 Br4'
_cell_length_a 8.2032
_cell_length_b 8.1772
_cell_length_c 8.2319
_cell_angle_alpha 90.00
_cell_angle_beta 118.01
_cell_angle_gamma 90.00
_symmetry_space_group_name_H-M 'P 1 21/c 1'
_symmetry_Int_Tables_number 14
_symmetry_space_group_name_Hall '-P 2ybc'
loop_
_atom_site_label
_atom_site_fract_x
_atom_site_fract_y
_atom_site_fract_z
Tb1 0.2276 0.0732 0.4477
Te1 0.1355 0.1056 0.7598
Br1 0.3953 0.6398 0.7996
# Total energy = -4.6233 eV per atom
# ρ = 4.99 g/cm³



[6]
# GGA-PBE Sm3Tl4BiS8, optimized geometry
data_Sm3Tl4BiS8
_chemical_formula_sum 'Sm9 Tl12 Bi3 S24'
_cell_length_a 8.2684
_cell_length_b 8.2684
_cell_length_c 22.4746
_cell_angle_alpha 90.00
_cell_angle_beta 90.00
_cell_angle_gamma 120.00
_symmetry_space_group_name_H-M 'R -3 m'
_symmetry_Int_Tables_number 166
_symmetry_space_group_name_Hall '-R 3 2"'
loop_
_atom_site_label
_atom_site_fract_x
_atom_site_fract_y
_atom_site_fract_z
Sm1 0.0000 0.5000 0.0000
Tl1 0.0000 0.0000 0.5000
Tl2 0.0000 0.5000 0.5000
Bi1 0.0000 0.0000 0.0000
S1 0.0000 0.0000 0.2661
S2 0.0029 0.5014 0.2653
# Total energy = -4.9884 eV per atom
# ρ = 6.49 g/cm³



[7]
# GGA-PBE ZnCoB2Te, optimized geometry
data_ZnCoB2Te
_chemical_formula_sum 'Zn1 Co1 B2 Te1'
_cell_length_a 3.8215
_cell_length_b 3.8215
_cell_length_c 5.4068
_cell_angle_alpha 90.00
_cell_angle_beta 90.00
_cell_angle_gamma 90.00
_symmetry_space_group_name_H-M 'P 4/m m m'
_symmetry_Int_Tables_number 123
_symmetry_space_group_name_Hall '-P 4 2'
loop_
_atom_site_label
_atom_site_fract_x
_atom_site_fract_y
_atom_site_fract_z
Zn1 0.0000 0.0000 0.0000
Co1 0.5000 0.5000 0.5000
B1 0.0000 0.5000 0.5000
Te1 0.5000 0.5000 0.0000
# Total energy = -4.3177 eV per atom
# ρ = 5.75 g/cm³



[8]
# GGA-PBE Pm3CoPd, optimized geometry
data_Pm3CoPd
_chemical_formula_sum 'Pm12 Co4 Pd4'
_cell_length_a 15.9493
_cell_length_b 3.8475
_cell_length_c 8.2996
_cell_angle_alpha 90.00
_cell_angle_beta 94.04
_cell_angle_gamma 90.00
_symmetry_space_group_name_H-M 'C 1 2/m 1'
_symmetry_Int_Tables_number 12
_symmetry_space_group_name_Hall '-C 2y'
loop_
_atom_site_label
_atom_site_fract_x
_atom_site_fract_y
_atom_site_fract_z
Pm1 0.0570 0.0000 0.3180
Pm2 0.1021 0.5000 0.9537
Pm3 0.2355 0.0000 0.6954
Co1 0.2182 0.0000 0.0560
Pd1 0.0914 0.5000 0.5817
# Formation energy from the elements = -344 meV/atom
# Offset from the most stable computed form = 0 meV/atom
# ρ = 7.85 g/cm³